# 1
## Mg8Tl2Ag (GGA-PBE)

Data for a relaxed Mg8Tl2Ag crystal.

Output
Offset from the most stable computed form ... 0.13 eV/f.u.
V ... 23.34 A^3/atom

Lattice parameters (Å, degrees): 4.6253 4.6253 12.0016 90.00 90.00 90.00
Closest atoms and distances in Å follow each position.
Atoms (fractional coordinates):
Mg 0.0000 0.5000 0.5000  8 Mg 3.18-3.27, 4 Tl 3.19
Mg 0.5000 0.5000 0.3183  8 Mg 3.18-3.22, 4 Tl 3.27
Mg 0.5000 0.0000 0.1316  2 Ag 2.80
Mg 0.5000 0.0000 0.8684  2 Ag 2.80
Mg 0.5000 0.5000 0.6817  8 Mg 3.18-3.22, 4 Tl 3.27
Mg 0.5000 0.0000 0.5000  8 Mg 3.18-3.27, 4 Tl 3.19
Mg 0.0000 0.5000 0.1316  2 Ag 2.80
Mg 0.0000 0.5000 0.8684  2 Ag 2.80
Tl 0.0000 0.0000 0.3172  12 Mg 3.19-3.27
Tl 0.0000 0.0000 0.6828  12 Mg 3.19-3.27
Ag 0.0000 0.0000 0.0000  8 Mg 2.80

# 2
## Pu2UGe (GGA-PBE)

Data for a relaxed Pu2UGe crystal.

Output
Offset from the most stable computed form ... 0.00 eV/f.u.
V ... 20.92 A^3/atom

Lattice parameters (Å, degrees): 4.3344 4.3934 4.3934 90.00 90.00 90.00
Closest atoms and distances in Å follow each position.
Atoms (fractional coordinates):
U 0.5000 0.5000 0.5000  8 Pu 3.09, 4 Ge 3.11
Pu 0.0000 0.0000 0.5000  4 Ge 3.09, 4 U 3.09, 4 Pu 3.11
Pu 0.0000 0.5000 0.0000  4 Ge 3.09, 4 U 3.09, 4 Pu 3.11
Ge 0.5000 0.0000 0.0000  8 Pu 3.09, 4 U 3.11

Number 1: total magnetization 0.00 μB/atom, E -20.65 eV/f.u.. Number 2: total magnetization 2.11 μB/atom, E -45.09 eV/f.u..